# AcSc2US8

A relaxed structure of AcSc2US8 (PBE-GGA, Alexandria via LeMat-Bulk).

Lattice parameters (Å, degrees): 6.1054 5.7699 8.4429 90.00 90.00 89.56
Closest atoms and distances in Å follow each position.
Fractional coordinates of all 12 atoms:
S  0.1412  0.7389  0.7816  1 U 2.53, 1 Sc 2.58
S  0.4622  0.2543  0.5000  2 Sc 2.70, 2 S 2.88-2.97
S  0.8588  0.2611  0.2184  1 U 2.53, 1 Sc 2.58
Ac  0.0000  0.0000  0.5000  6 S 2.94-3.19
U  0.0000  0.0000  0.0000  6 S 2.53-2.61
Sc  0.5000  0.5000  0.7704  6 S 2.56-2.70
S  0.5378  0.7457  0.5000  2 Sc 2.70, 2 S 2.88-2.97
Sc  0.5000  0.5000  0.2296  6 S 2.56-2.70
S  0.1413  0.7389  0.2184  1 U 2.53, 1 Sc 2.58
S  0.3491  0.2578  0.0000  2 Sc 2.56, 1 U 2.61
S  0.8587  0.2611  0.7816  1 U 2.53, 1 Sc 2.58
S  0.6509  0.7422  0.0000  2 Sc 2.56, 1 U 2.61

- size of the total moment (μB per formula unit) = 0.2
- E (eV per atom) = -6.516
- ΔE_f (raw) (eV/atom) = -1.427
- SG = P2/m (10)